# 1
VASP calculation (PBE-GGA) on a relaxed Ac2PtI crystal.

## Properties
Its energy above the most stable polymorph in this dataset is 0.012 eV per atom. Its formation energy (no corrections) is -1217 meV per atom.

Cell lengths 4.472, 4.472, 26.099 Å; angles 90.00, 90.00, 120.00 degrees
Sites, in units of the cell vectors:
1 Ac 0.000 0.000 0.000
2 Ac 0.000 0.000 0.210
3 Ac 0.333 0.667 0.667
4 Ac 0.333 0.667 0.877
5 Ac 0.667 0.333 0.333
6 Ac 0.667 0.333 0.544
7 Pt 0.000 0.000 0.605
8 Pt 0.333 0.667 0.272
9 Pt 0.667 0.333 0.939
10 I 0.000 0.000 0.437
11 I 0.333 0.667 0.104
12 I 0.667 0.333 0.770


# 2
VASP calculation (PBE-GGA) on a relaxed Ba4SiI4 crystal.

## Properties
Its formation energy (no corrections) is -1353 meV per atom.

Cell lengths 8.913, 8.913, 12.274 Å; angles 118.88, 118.88, 32.47 degrees
Sites, in units of the cell vectors:
1 Ba 0.078 0.078 0.402
2 Ba 0.315 0.315 0.229
3 Ba 0.685 0.685 0.771
4 Ba 0.922 0.922 0.598
5 Si 0.500 0.500 0.500
6 I 0.117 0.117 0.909
7 I 0.299 0.299 0.690
8 I 0.701 0.701 0.310
9 I 0.883 0.883 0.091


# 3
VASP calculation (PBE-GGA) on a relaxed SrScCl3 crystal.

## Properties
Its formation energy (no corrections) is -1561 meV per atom.

Cell lengths 5.089, 5.089, 5.089 Å; angles 90.00, 90.00, 90.00 degrees
Sites, in units of the cell vectors:
1 Sr 0.000 0.000 0.000
2 Sc 0.500 0.500 0.500
3 Cl 0.000 0.500 0.500
4 Cl 0.500 0.000 0.500
5 Cl 0.500 0.500 0.000


# 4
VASP calculation (PBE-GGA) on a relaxed TcTeRuN2 crystal.

## Properties
Its energy above the most stable polymorph in this dataset is 0.222 eV per atom. Its formation energy (no corrections) is 1222 meV per atom.

Cell lengths 3.840, 3.840, 5.803 Å; angles 90.00, 90.00, 90.00 degrees
Sites, in units of the cell vectors:
1 Tc 0.000 0.000 0.000
2 Te 0.500 0.500 0.000
3 Ru 0.500 0.500 0.500
4 N 0.000 0.500 0.500
5 N 0.500 0.000 0.500